MgTe3C: optimized geometry, PBE-GGA.

Energy relative to the elements, uncorrected (eV per atom): 0.7321
DFT total energy (eV/atom): -3.32

Cell: 4.8400 4.8400 4.8400 Å, 90.00 90.00 90.00°
Space group Pm-3m (No. 221)
Symmetry-distinct sites (fractional):
Mg 0.0000 0.0000 0.0000 (multiplicity 1)
Te 0.0000 0.5000 0.5000 (multiplicity 3)
C 0.5000 0.5000 0.5000 (multiplicity 1)